This record from the Alexandria database describes a PBEsol-optimized structure of Mg2CdIr. The functional is SCAN.

a = 3.2835 Å, b = 4.4764 Å, c = 9.2877 Å
α = 90.00°, β = 90.00°, γ = 90.00°
Space group Imm2 (No. 44)
Unique sites:
Mg (0.0000, 0.0000, 0.0000) (multiplicity 2)
Mg (0.0000, 0.5000, 0.2274) (multiplicity 2)
Cd (0.0000, 0.0000, 0.4684) (multiplicity 2)
Ir (0.0000, 0.5000, 0.7268) (multiplicity 2)

The value obtained for the density of states at the Fermi level is 0.23 states/eV per atom. For the calculated volume, the calculation gives 17.06 Å³/atom. Its total energy is -112.65 eV per formula unit. The formation energy comes out at -28.6 kJ per mole of atoms.